[1]
DFT (GGA-PBE) results for a geometry-optimized HfZr2SnO structure.

Cell and atoms, written as extended XYZ:
```
5
Lattice="-1.3234 4.4745 -0.2027 -3.3699 -0.8555 3.1186 2.6606 0.9287 3.1298" Properties=species:S:1:pos:R:3 pbc="T T T"
Hf 1.3303 0.4644 1.5649
Sn -1.0164 2.2739 3.0228
Zr -1.6850 -0.4277 1.5593
Zr -0.6617 2.2372 -0.1013
O 0.0000 0.0000 0.0000
```

DOS at the Fermi energy ... 6.337 states/eV per cell


[2]
DFT (GGA-PBE) results for a geometry-optimized SrHfO3 structure.

Cell and atoms, written as extended XYZ:
```
5
Lattice="4.1072 0.0000 0.0000 0.0000 4.1072 0.0000 0.0000 0.0000 4.1072" Properties=species:S:1:pos:R:3 pbc="T T T"
O 0.0000 2.0536 0.0000
O 0.0000 0.0000 2.0536
O 2.0536 0.0000 0.0000
Sr 2.0536 2.0536 2.0536
Hf 0.0000 0.0000 0.0000
```

DOS at the Fermi energy ... 0.000 states/eV per cell


[3]
DFT (GGA-PBE) results for a geometry-optimized Sr3Hf2O7 structure.

Cell and atoms, written as extended XYZ:
```
12
Lattice="10.9152 -0.0002 0.0000 9.3509 5.6305 0.0000 -10.1331 -2.8151 2.9220" Properties=species:S:1:pos:R:3 pbc="T T T"
Sr 10.1331 2.8151 0.0000
Sr 13.9153 3.8659 0.0000
Sr 6.3508 1.7644 0.0000
O 4.0195 1.1167 0.0000
O 0.0000 0.0000 0.0000
O 2.3752 -0.8564 1.4610
O 7.7578 3.6716 1.4610
O 16.2466 4.5136 0.0000
O 8.5400 0.8562 1.4610
O 1.5931 1.9589 1.4610
Hf 2.0177 0.5605 0.0000
Hf 18.2484 5.0697 0.0000
```

Excess energy over the best structure of this formula in the dataset ... 1.2 kJ per mole of atoms
DOS at the Fermi energy ... 0.000 states/eV per cell


[4]
DFT (GGA-PBE) results for a geometry-optimized SrHfO3 structure.

Cell and atoms, written as extended XYZ:
```
20
Lattice="0.0000 5.3644 5.3644 5.3644 0.0000 5.3644 5.3644 5.3644 0.0000" Properties=species:S:1:pos:R:3 pbc="T T T"
O 7.6008 5.3644 5.3644
O 10.2830 8.0467 8.0467
O 8.0467 5.8103 8.0467
O 5.8103 8.0467 8.0467
O 3.1281 5.3644 5.3644
O 5.3644 5.3644 7.6008
O 5.3644 3.1281 5.3644
O 8.0467 10.2830 8.0467
O 8.0467 8.0467 5.8103
O 8.0467 8.0467 10.2830
O 5.3644 7.6008 5.3644
O 5.3644 5.3644 3.1281
Sr 4.0233 1.3411 4.0233
Sr 1.3411 4.0233 4.0233
Sr 1.3411 1.3411 1.3411
Sr 4.0233 4.0233 1.3411
Hf 4.0233 4.0233 6.7056
Hf 6.7056 6.7056 6.7056
Hf 6.7056 4.0233 4.0233
Hf 4.0233 6.7056 4.0233
```

DOS at the Fermi energy ... 0.982 states/eV per cell


Formation energy from raw total energies (computed, meV/atom): -1139 -3359 -3264 -3094